# FeReF2

FeReF2 after structural relaxation (PBE with a Hubbard U, Alexandria).

Summary:
Polymorph energy (0 for the lowest one)   22.81 kcal/mol of atoms
Total moment   5.0 μB per formula unit
Fermi-level density of states   0.735 states/eV/atom
Total DFT energy (no corrections)   -40.790 eV per cell

a = 5.726 Å, b = 5.726 Å, c = 5.726 Å
α = 125.95°, β = 125.95°, γ = 79.97°
Positions (direct):
Fe 0.000 0.000 0.000
Fe 0.750 0.250 0.500
Re 0.250 0.750 0.500
Re 0.500 0.500 0.000
F 0.079 0.625 0.954
F 0.375 0.329 0.454
F 0.671 0.125 0.046
F 0.875 0.921 0.546